# 1
ZrFeW2 GGA-PBEsol relaxed; mass density = 13.79 g/cm³; relative energy among the computed polymorphs = 0.265 eV/atom; space-group type = No. 123
1.0
3.2087 0.0000 0.0000
0.0000 4.3947 0.0000
0.0000 0.0000 4.3947
Fe W Zr
1 2 1
Cartesian
1.6043 0.0000 0.0000 Fe
0.0000 0.0000 2.1974 W
0.0000 2.1974 0.0000 W
1.6043 2.1974 2.1974 Zr

=====

# 2
ZrFeW2 GGA-PBEsol relaxed; mass density = 13.79 g/cm³; relative energy among the computed polymorphs = 0.144 eV/atom; space-group type = No. 123
1.0
2.7514 0.0000 0.0000
0.0000 2.7507 0.0000
0.0000 0.0000 8.1918
Fe W Zr
1 2 1
Cartesian
1.3757 1.3753 4.0959 Fe
0.0000 0.0000 5.7821 W
0.0000 0.0000 2.4097 W
1.3757 1.3753 0.0000 Zr

=====

# 3
ZrFeW2 GGA-PBEsol relaxed; mass density = 14.03 g/cm³; relative energy among the computed polymorphs = 0.267 eV/atom; space-group type = No. 225
1.0
4.4167 0.0000 0.0000
2.2083 3.8249 0.0000
2.2083 1.2750 3.6062
Fe W Zr
1 2 1
Cartesian
0.0000 0.0000 0.0000 Fe
2.2083 1.2750 0.9015 W
6.6250 3.8249 2.7046 W
4.4167 2.5500 1.8031 Zr

=====

# 4
ZrFeW2 GGA-PBEsol relaxed; mass density = 13.89 g/cm³; relative energy among the computed polymorphs = 0.000 eV/atom; space-group type = No. 216
1.0
4.4313 0.0000 0.0000
2.2157 3.8376 0.0000
2.2157 1.2792 3.6182
Fe W Zr
1 2 1
Cartesian
4.4313 2.5584 1.8091 Fe
0.0000 0.0000 0.0000 W
6.6470 3.8376 2.7136 W
2.2157 1.2792 0.9045 Zr

=====

# 5
YFe GGA-PBEsol relaxed; mass density = 5.63 g/cm³; calculated total energy = -7.583 eV/atom; space-group type = No. 129
1.0
3.3687 0.0000 0.0000
0.0000 3.3687 0.0000
0.0000 0.0000 7.5205
Fe Y
2 2
Cartesian
1.6844 1.6844 0.0000 Fe
0.0000 0.0000 0.0000 Fe
1.6844 0.0000 2.2795 Y
0.0000 1.6844 5.2410 Y

=====

# 6
YFe GGA-PBEsol relaxed; mass density = 5.73 g/cm³; calculated total energy = -7.228 eV/atom; space-group type = No. 225
1.0
3.8995 0.0000 0.0000
1.9498 3.3771 0.0000
1.9498 1.1257 3.1840
Fe Y
1 1
Cartesian
0.0000 0.0000 0.0000 Fe
3.8995 2.2514 1.5920 Y

=====

# 7
YFe3 GGA-PBEsol relaxed; mass density = 7.53 g/cm³; calculated total energy = -8.477 eV/atom; space-group type = No. 194
1.0
-4.4952 0.9294 -1.9098
1.3748 -4.6810 0.9573
-5.9621 1.2425 14.6380
Fe Y
18 6
Cartesian
-8.7108 1.0754 11.3255 Fe
-6.4675 0.6116 12.2787 Fe
-8.0247 -1.2606 11.8033 Fe
-1.8201 -3.2826 5.9162 Fe
-4.0635 -2.8187 4.9631 Fe
-2.5062 -0.9465 5.4384 Fe
-2.6150 -3.1206 1.4068 Fe
-0.3717 -3.5844 2.3599 Fe
-1.0578 -1.2484 1.8822 Fe
-5.0190 0.3097 8.7224 Fe
-7.2624 0.7736 7.7693 Fe
-6.5763 -1.5625 8.2470 Fe
-7.0101 -0.0088 10.0244 Fe
-2.0724 -2.5002 3.6611 Fe
-4.4716 0.9319 10.9785 Fe
-1.4905 0.3106 3.6595 Fe
0.0000 0.0000 0.0000 Fe
-2.9811 0.6213 7.3190 Fe
-5.2975 -0.3657 5.8195 Y
-6.3218 -1.6146 14.0942 Y
-3.7850 -2.1433 7.8659 Y
-2.7607 -0.8944 -0.4087 Y
-4.0291 -0.6301 2.7054 Y
-5.0534 -1.8789 10.9801 Y

=====

# 8
Y3Fe GGA-PBEsol relaxed; mass density = 5.48 g/cm³; calculated total energy = -7.358 eV/atom; space-group type = No. 62
1.0
-3.6267 0.1887 -5.0190
5.6366 -0.2235 -4.0814
-0.3972 -9.0472 -0.0531
Fe Y
4 12
Cartesian
-1.6111 -6.7094 -3.1642 Fe
1.9790 -2.3427 -1.7709 Fe
-0.3663 -6.7393 -7.3824 Fe
3.2238 -2.3726 -5.9892 Fe
-2.9432 -2.1103 -4.5518 Y
-0.2355 -0.5853 -2.3592 Y
-0.3806 -3.8923 -2.3786 Y
-1.3900 -5.0486 -5.5161 Y
-1.5352 -8.3556 -5.5355 Y
0.9179 -6.8173 -3.6953 Y
0.6948 -2.2647 -5.4581 Y
3.1479 -0.7265 -3.6179 Y
3.0027 -4.0335 -3.6373 Y
1.9933 -5.1897 -6.7747 Y
1.8481 -8.4967 -6.7941 Y
4.5559 -6.9717 -4.6016 Y

=====

# 9
YFe4 GGA-PBEsol relaxed; mass density = 7.44 g/cm³; relative energy among the computed polymorphs = 0.000 eV/atom; space-group type = No. 87
1.0
4.2007 0.0000 0.0000
2.1003 4.0722 0.0000
2.1003 0.0000 4.0722
Fe Y
4 1
Cartesian
6.3010 3.0417 2.5752 Fe
2.1003 1.0305 1.4970 Fe
4.2007 2.5752 1.0305 Fe
4.2007 1.4970 3.0417 Fe
0.0000 0.0000 0.0000 Y

=====

# 10
Y2Fe3 GGA-PBEsol relaxed; mass density = 6.67 g/cm³; calculated total energy = -8.101 eV/atom; space-group type = No. 43
1.0
-1.6803 -0.0626 4.9809
1.8969 -4.4798 -1.9924
6.3348 4.0230 0.7013
Fe Y
6 4
Cartesian
1.9689 -1.4795 1.0012 Fe
4.5143 2.3918 1.7466 Fe
1.0357 0.7646 2.0026 Fe
3.6589 2.3564 4.2319 Fe
0.0233 -0.4881 0.3211 Fe
4.1933 -1.8521 0.4227 Fe
0.1582 -1.8263 3.1959 Y
6.4383 0.3634 1.1147 Y
1.1697 0.9465 4.8600 Y
3.6382 -0.2008 2.9373 Y

=====

# 11
YFe5 GGA-PBEsol relaxed; mass density = 7.62 g/cm³; calculated total energy = -8.632 eV/atom; space-group type = No. 191
1.0
3.8824 0.0000 0.0000
0.0000 4.8849 0.0000
0.0000 -2.4424 4.2304
Y Fe
1 5
Cartesian
0.0000 0.0000 0.0000 Y
0.0000 2.4424 1.4101 Fe
0.0000 0.0000 2.8203 Fe
1.9412 1.2212 2.1152 Fe
1.9412 2.4424 0.0000 Fe
1.9412 -1.2212 2.1152 Fe

=====

# 12
YFe3 GGA-PBEsol relaxed; mass density = 7.14 g/cm³; calculated total energy = -7.801 eV/atom; space-group type = No. 166
1.0
-2.0553 1.4644 -1.3282
-2.7387 -0.6467 0.4632
-1.8152 5.7885 6.1291
Fe Y
3 1
Cartesian
-4.9651 5.1627 4.1902 Fe
0.0000 0.0000 0.0000 Fe
-1.6441 1.4434 1.0739 Fe
-3.3046 3.3031 2.6320 Y

=====

# 13
YFe3 GGA-PBEsol relaxed; mass density = 6.69 g/cm³; calculated total energy = -8.333 eV/atom; space-group type = No. 166
1.0
3.9294 0.0000 0.0000
1.9647 3.4029 0.0000
1.9647 1.1343 4.7631
Fe Y
3 1
Cartesian
5.8940 3.4029 4.3718 Fe
1.9647 1.1343 0.3913 Fe
0.0000 0.0000 0.0000 Fe
3.9294 2.2686 2.3815 Y